Computed, not measured: KIr3Br after structural relaxation at the GGA-PBEsol level of DFT. Values from VASP.

```
&SYSTEM
  ibrav = 0, nat = 5, ntyp = 3
/
ATOMIC_SPECIES
K 39.10 K.upf
Ir 192.22 Ir.upf
Br 79.90 Br.upf
ATOMIC_POSITIONS crystal
K 0.000 0.000 0.000
Ir 0.000 0.000 0.500
Ir 0.000 0.500 0.000
Ir 0.500 0.000 0.000
Br 0.500 0.500 0.500
CELL_PARAMETERS angstrom
4.813 0.000 0.000
0.000 4.813 0.000
0.000 0.000 4.813
```

Calculated values
M_tot = 0.939 μB/atom
Calculated volume = 111 Å³ per cell
Symmetry = Pm-3m, No. 221
Total DFT energy (no corrections) = -3.037 eV/atom
Calculated density = 10364 kg/m3
Raw formation energy = 3.458 eV/atom
D(E_F) = 7.80 states/eV/cell


Computed, not measured: Mo2RuW after structural relaxation at the GGA-PBEsol level of DFT. Values from VASP.

```
&SYSTEM
  ibrav = 0, nat = 4, ntyp = 3
/
ATOMIC_SPECIES
Mo 95.94 Mo.upf
Ru 101.07 Ru.upf
W 183.84 W.upf
ATOMIC_POSITIONS crystal
Mo 0.238 0.238 0.240
Mo 0.762 0.762 0.760
Ru 0.500 0.500 0.000
W 0.000 0.000 0.500
CELL_PARAMETERS angstrom
4.673 -1.375 0.000
4.673 1.375 0.000
-0.820 0.000 4.672
```

Calculated values
M_tot = 0.000 μB/atom
Energy above the lowest structure with this stoichiometry = 0.000 eV/atom
Calculated volume = 60 Å³ per cell
Symmetry = C2/m, No. 12
Formation energy = 0.23 eV/atom
Total DFT energy (no corrections) = -11.648 eV/atom
Calculated density = 13184 kg/m3
D(E_F) = 3.40 states/eV/cell


Computed, not measured: Tl2NiPbCl after structural relaxation at the GGA-PBEsol level of DFT. Values from VASP.

```
&SYSTEM
  ibrav = 0, nat = 5, ntyp = 4
/
ATOMIC_SPECIES
Tl 204.38 Tl.upf
Ni 58.69 Ni.upf
Pb 207.20 Pb.upf
Cl 35.45 Cl.upf
ATOMIC_POSITIONS crystal
Tl 0.000 0.500 0.000
Tl 0.500 0.000 0.000
Ni 0.000 0.000 0.500
Pb 0.500 0.500 0.500
Cl 0.000 0.000 0.000
CELL_PARAMETERS angstrom
5.865 0.000 0.000
0.000 5.865 0.000
0.000 0.000 3.999
```

Calculated values
M_tot = 0.000 μB/atom
Calculated volume = 138 Å³ per cell
Symmetry = P4/mmm, No. 123
Total DFT energy (no corrections) = -3.282 eV/atom
Calculated density = 8574 kg/m3
Raw formation energy = 0.203 eV/atom
D(E_F) = 4.11 states/eV/cell


Computed, not measured: NaAl3Ni after structural relaxation at the GGA-PBEsol level of DFT. Values from VASP.

```
&SYSTEM
  ibrav = 0, nat = 5, ntyp = 3
/
ATOMIC_SPECIES
Na 22.99 Na.upf
Al 26.98 Al.upf
Ni 58.69 Ni.upf
ATOMIC_POSITIONS crystal
Na 0.000 0.000 0.000
Al 0.000 0.500 0.500
Al 0.500 0.000 0.500
Al 0.500 0.500 0.000
Ni 0.500 0.500 0.500
CELL_PARAMETERS angstrom
4.535 0.000 0.000
0.000 4.535 0.000
0.000 0.000 4.535
```

Calculated values
M_tot = 0.000 μB/atom
Calculated volume = 93 Å³ per cell
Symmetry = Pm-3m, No. 221
Formation energy = -0.07 eV/atom
Total DFT energy (no corrections) = -4.035 eV/atom
Calculated density = 2896 kg/m3
D(E_F) = 1.37 states/eV/cell


Computed, not measured: Cd2TeCl after structural relaxation at the GGA-PBEsol level of DFT. Values from VASP.

```
&SYSTEM
  ibrav = 0, nat = 4, ntyp = 3
/
ATOMIC_SPECIES
Cd 112.41 Cd.upf
Te 127.60 Te.upf
Cl 35.45 Cl.upf
ATOMIC_POSITIONS crystal
Cd 0.000 0.500 0.000
Cd 0.500 0.000 0.000
Te 0.000 0.000 0.500
Cl 0.500 0.500 0.500
CELL_PARAMETERS angstrom
5.057 0.000 0.000
0.000 5.057 0.000
0.000 0.000 3.669
```

Calculated values
M_tot = 0.000 μB/atom
Energy above the lowest structure with this stoichiometry = 0.000 eV/atom
Calculated volume = 94 Å³ per cell
Symmetry = P4/mmm, No. 123
Total DFT energy (no corrections) = -2.210 eV/atom
Calculated density = 6863 kg/m3
Raw formation energy = -0.228 eV/atom
D(E_F) = 1.61 states/eV/cell


Computed, not measured: GeHCl2 after structural relaxation at the GGA-PBEsol level of DFT. Values from VASP.

```
&SYSTEM
  ibrav = 0, nat = 4, ntyp = 3
/
ATOMIC_SPECIES
Ge 72.64 Ge.upf
H 1.01 H.upf
Cl 35.45 Cl.upf
ATOMIC_POSITIONS crystal
Ge 0.000 0.000 0.000
H 0.500 0.500 0.500
Cl 0.111 0.111 0.111
Cl 0.889 0.889 0.889
CELL_PARAMETERS angstrom
1.593 0.920 7.357
-1.593 0.920 7.357
0.000 -1.839 7.357
```

Calculated values
M_tot = 0.000 μB/atom
Calculated volume = 65 Å³ per cell
Symmetry = R-3m, No. 166
Total DFT energy (no corrections) = -2.878 eV/atom
Calculated density = 3712 kg/m3
D(E_F) = 0.58 states/eV/cell


Look up the total DFT energy (no corrections) of the first one.
-3.037 eV/atom